Record 1
A relaxed structure of Tb2YEr, computed with PBE.

DOS(E_F): 18.25 states/eV/cell
DFT total energy: -0.1860 Ha/atom
E above lowest polymorph: 2 meV per atom

abc: 3.578 3.578 34.346
angles: 90.00 90.00 120.00
Positions (direct):
Tb: 0.000 0.000 0.000
Tb: 0.000 0.000 0.167
Tb: 0.333 0.667 0.667
Tb: 0.333 0.667 0.834
Tb: 0.667 0.333 0.333
Tb: 0.667 0.333 0.501
Y: 0.000 0.000 0.750
Y: 0.333 0.667 0.417
Y: 0.667 0.333 0.083
Er: 0.000 0.000 0.584
Er: 0.333 0.667 0.250
Er: 0.667 0.333 0.917



Record 2
A relaxed structure of Tb2Y2Er, computed with PBE.

DOS(E_F): 28.64 states/eV/cell
DFT total energy: -0.1964 Ha/atom
E above lowest polymorph: 0 meV per atom

abc: 14.554 7.137 6.181
angles: 90.00 98.15 90.00
Positions (direct):
Tb: 0.001 0.125 0.252
Tb: 0.001 0.375 0.752
Tb: 0.398 0.625 0.383
Tb: 0.398 0.875 0.883
Tb: 0.602 0.125 0.117
Tb: 0.602 0.375 0.617
Tb: 0.999 0.625 0.248
Tb: 0.999 0.875 0.748
Y: 0.199 0.625 0.648
Y: 0.199 0.875 0.148
Y: 0.398 0.125 0.384
Y: 0.398 0.375 0.884
Y: 0.602 0.625 0.116
Y: 0.602 0.875 0.616
Y: 0.801 0.125 0.852
Y: 0.801 0.375 0.352
Er: 0.199 0.125 0.650
Er: 0.199 0.375 0.150
Er: 0.801 0.625 0.850
Er: 0.801 0.875 0.350



Record 3
A relaxed structure of Tb4Y8Er, computed with PBE.

DOS(E_F): 16.21 states/eV/cell
DFT total energy: -0.2035 Ha/atom

abc: 10.117 10.117 10.117
angles: 42.26 42.26 42.26
Positions (direct):
Tb: 0.000 0.000 0.000
Tb: 0.000 0.500 0.500
Tb: 0.500 0.000 0.500
Tb: 0.500 0.500 0.000
Y: 0.201 0.750 0.750
Y: 0.215 0.215 0.215
Y: 0.250 0.250 0.799
Y: 0.250 0.799 0.250
Y: 0.750 0.201 0.750
Y: 0.750 0.750 0.201
Y: 0.785 0.785 0.785
Y: 0.799 0.250 0.250
Er: 0.500 0.500 0.500



Record 4
A relaxed structure of Tb4Y15Er, computed with PBE.

DOS(E_F): 28.35 states/eV/cell
DFT total energy: -0.2197 Ha/atom

abc: 5.043 5.043 25.214
angles: 90.00 90.00 90.00
Positions (direct):
Tb: 0.000 0.000 0.100
Tb: 0.000 0.000 0.300
Tb: 0.000 0.000 0.700
Tb: 0.000 0.000 0.900
Y: 0.000 0.500 0.000
Y: 0.000 0.500 0.200
Y: 0.000 0.500 0.401
Y: 0.000 0.500 0.599
Y: 0.000 0.500 0.800
Y: 0.500 0.000 0.000
Y: 0.500 0.000 0.200
Y: 0.500 0.000 0.401
Y: 0.500 0.000 0.599
Y: 0.500 0.000 0.800
Y: 0.500 0.500 0.100
Y: 0.500 0.500 0.301
Y: 0.500 0.500 0.500
Y: 0.500 0.500 0.699
Y: 0.500 0.500 0.900
Er: 0.000 0.000 0.500



Record 5
A relaxed structure of TbY2Er2, computed with PBE.

DOS(E_F): 28.66 states/eV/cell
DFT total energy: -0.1957 Ha/atom
E above lowest polymorph: 0 meV per atom

abc: 14.518 7.119 6.161
angles: 90.00 98.08 90.00
Positions (direct):
Tb: 0.199 0.125 0.149
Tb: 0.199 0.375 0.649
Tb: 0.801 0.625 0.351
Tb: 0.801 0.875 0.851
Y: 0.199 0.625 0.147
Y: 0.199 0.875 0.647
Y: 0.399 0.125 0.883
Y: 0.399 0.375 0.383
Y: 0.601 0.625 0.617
Y: 0.601 0.875 0.117
Y: 0.801 0.125 0.353
Y: 0.801 0.375 0.853
Er: 0.000 0.125 0.751
Er: 0.000 0.375 0.251
Er: 0.000 0.625 0.749
Er: 0.000 0.875 0.249
Er: 0.399 0.625 0.883
Er: 0.399 0.875 0.383
Er: 0.601 0.125 0.617
Er: 0.601 0.375 0.117



Record 6
A relaxed structure of Tb7Y16Er6, computed with PBE.

DOS(E_F): 60.64 states/eV/cell
DFT total energy: -0.1974 Ha/atom

abc: 11.148 11.148 11.148
angles: 60.00 60.00 60.00
Positions (direct):
Tb: 0.000 0.000 0.000
Tb: 0.000 0.000 0.500
Tb: 0.000 0.500 0.000
Tb: 0.000 0.500 0.500
Tb: 0.500 0.000 0.000
Tb: 0.500 0.000 0.500
Tb: 0.500 0.500 0.000
Y: 0.050 0.650 0.650
Y: 0.124 0.124 0.124
Y: 0.124 0.124 0.628
Y: 0.124 0.628 0.124
Y: 0.350 0.350 0.350
Y: 0.350 0.350 0.950
Y: 0.350 0.950 0.350
Y: 0.372 0.876 0.876
Y: 0.628 0.124 0.124
Y: 0.650 0.050 0.650
Y: 0.650 0.650 0.050
Y: 0.650 0.650 0.650
Y: 0.876 0.372 0.876
Y: 0.876 0.876 0.372
Y: 0.876 0.876 0.876
Y: 0.950 0.350 0.350
Er: 0.269 0.269 0.731
Er: 0.269 0.731 0.269
Er: 0.269 0.731 0.731
Er: 0.731 0.269 0.269
Er: 0.731 0.269 0.731
Er: 0.731 0.731 0.269



no.,energy of formation from the pure elements (eV/atom)
1,0.01
2,0.01
3,0.22
4,0.02
5,0.01
6,0.26